1.
Entry from the Alexandria database: NaLa2H after structural relaxation (PBE).

Cell and atoms, written as POSCAR:
```
NaLa2H
1.0
7.530 0.000 0.000
0.000 7.530 0.000
0.000 0.000 8.065
Na La H
4 8 4
direct
0.000 0.000 0.000 Na
0.000 0.500 0.250 Na
0.500 0.000 0.750 Na
0.500 0.500 0.500 Na
0.133 0.750 0.625 La
0.250 0.133 0.375 La
0.250 0.367 0.875 La
0.367 0.750 0.125 La
0.633 0.250 0.125 La
0.750 0.633 0.875 La
0.750 0.867 0.375 La
0.867 0.250 0.625 La
0.000 0.000 0.500 H
0.000 0.500 0.750 H
0.500 0.000 0.250 H
0.500 0.500 0.000 H
```

Summary:
The value obtained for the density of states at the Fermi level is 0.8079 states/eV/atom. As for the energy above the most stable polymorph in this dataset: 9.9 kJ per mole of atoms. The volume is 457.3 Å³/cell.

=====

2.
Entry from the Alexandria database: Na2LaH2 after structural relaxation (PBE).

Cell and atoms, written as POSCAR:
```
Na2LaH2
1.0
6.662 0.000 0.000
0.000 6.662 0.000
0.000 0.000 5.212
Na La H
4 2 4
direct
0.167 0.333 0.000 Na
0.333 0.833 0.000 Na
0.667 0.167 0.000 Na
0.833 0.667 0.000 Na
0.000 0.000 0.500 La
0.500 0.500 0.500 La
0.215 0.285 0.500 H
0.285 0.785 0.500 H
0.715 0.215 0.500 H
0.785 0.715 0.500 H
```

Summary:
The value obtained for the raw total energy is -14.5 eV per formula unit. The value obtained for the density of states at the Fermi level is 0.4701 states/eV/atom. The volume is 231.3 Å³/cell.

=====

3.
Entry from the Alexandria database: NaLaNiH6 after structural relaxation (PBE).

Cell and atoms, written as POSCAR:
```
NaLaNiH6
1.0
4.880 0.000 0.000
-2.440 4.226 0.000
0.000 0.000 4.257
Na La Ni H
1 1 1 6
direct
0.000 0.000 0.000 Na
0.667 0.333 0.515 La
0.333 0.667 0.212 Ni
0.178 0.357 0.438 H
0.178 0.822 0.438 H
0.501 0.002 0.015 H
0.501 0.499 0.015 H
0.643 0.822 0.438 H
0.998 0.499 0.015 H
```

Summary:
The value obtained for the raw total energy is -35.1 eV per formula unit. The value obtained for the density of states at the Fermi level is 0.2159 states/eV/atom. The volume is 87.8 Å³/cell.